Record 1
The following is a DFT calculation (PBE) of a geometry-optimized CsMgMnBr5 structure.

Cell and atoms, written as CIF:
```
data_CsMgMnBr5
_cell_length_a 9.603
_cell_length_b 12.782
_cell_length_c 9.935
_cell_angle_alpha 90.00
_cell_angle_beta 111.96
_cell_angle_gamma 90.00
_space_group_name_H-M_alt 'C 1 2/c 1'
_space_group_IT_number 15
loop_
_space_group_symop_operation_xyz
'x,y,z'
'-x,-y,-z'
'-x,y,-z+1/2'
'x,-y,z+1/2'
'x+1/2,y+1/2,z'
'-x+1/2,-y+1/2,-z'
'-x+1/2,y+1/2,-z+1/2'
'x+1/2,-y+1/2,z+1/2'
loop_
_atom_site_label
_atom_site_type_symbol
_atom_site_fract_x
_atom_site_fract_y
_atom_site_fract_z
_atom_site_occupancy
Cs1 Cs 0.000 0.155 0.250 1
Mg1 Mg 0.000 0.500 0.000 1
Mn1 Mn 0.000 0.193 0.750 1
Br1 Br 0.000 0.437 0.250 1
Br2 Br 0.102 0.305 0.600 1
Br3 Br 0.197 0.079 0.931 1
```

Results
- ΔE_f (raw) (eV per atom) = -1.28
- total DFT energy (no corrections) (eV for the cell shown) = -120.92
- density (Mg/m³) = 3.59
- density of states at the Fermi level (states/eV/cell) = 0.000


Record 2
The following is a DFT calculation (PBE) of a geometry-optimized Cs2MgMnBr6 structure.

Cell and atoms, written as CIF:
```
data_Cs2MgMnBr6
_cell_length_a 10.885
_cell_length_b 10.885
_cell_length_c 10.885
_cell_angle_alpha 90.00
_cell_angle_beta 90.00
_cell_angle_gamma 90.00
_space_group_name_H-M_alt 'F m -3 m'
_space_group_IT_number 225
_space_group_name_Hall '-F 4 2 3'
loop_
_atom_site_label
_atom_site_type_symbol
_atom_site_fract_x
_atom_site_fract_y
_atom_site_fract_z
_atom_site_occupancy
Cs1 Cs 0.250 0.250 0.250 1
Mg1 Mg 0.000 0.000 0.000 1
Mn1 Mn 0.000 0.000 0.500 1
Br1 Br 0.000 0.000 0.251 1
```

Results
- ΔE_f (raw) (eV per atom) = -1.39
- total DFT energy (no corrections) (eV for the cell shown) = -145.72
- density (Mg/m³) = 4.25
- density of states at the Fermi level (states/eV/cell) = 0.000